1.
# PBE AcPr6NdEr2, relaxed
# DFT total energy: -4.5536 eV per atom
# space group: No. 15
# N(E_F): 28.48 states/eV per cell
# E_form: 0.114 eV/atom
data_AcPr6NdEr2
_space_group_name_H-M_alt 'P 1'
_space_group_IT_number 1
_space_group_name_Hall 'P 1'
_cell_length_a 9.9075
_cell_length_b 9.0939
_cell_length_c 9.0939
_cell_angle_alpha 116.99
_cell_angle_beta 93.41
_cell_angle_gamma 93.41
loop_
_atom_site_label
_atom_site_fract_x
_atom_site_fract_y
_atom_site_fract_z
Ac1 0.2500 0.9682 0.0318
Ac2 0.7500 0.0318 0.9682
Pr1 0.0544 0.1118 0.7537
Pr2 0.4456 0.2463 0.8882
Pr3 0.9456 0.8882 0.2463
Pr4 0.5544 0.7537 0.1118
Pr5 0.3202 0.9894 0.4474
Pr6 0.1798 0.5526 0.0106
Pr7 0.6798 0.0106 0.5526
Pr8 0.8202 0.4474 0.9894
Pr9 0.1191 0.7051 0.4873
Pr10 0.3809 0.5127 0.2949
Pr11 0.8809 0.2949 0.5127
Pr12 0.6191 0.4873 0.7051
Nd1 0.2500 0.4091 0.5909
Nd2 0.7500 0.5909 0.4091
Er1 0.4515 0.7985 0.6950
Er2 0.0485 0.3050 0.2015
Er3 0.5485 0.2015 0.3050
Er4 0.9515 0.6950 0.7985

2.
# PBE HfMn, relaxed
# DFT total energy: -8.4544 eV per atom
# space group: No. 194
# N(E_F): 4.14 states/eV per cell
# E_form: 1.107 eV/atom
data_HfMn
_space_group_name_H-M_alt 'P 1'
_space_group_IT_number 1
_space_group_name_Hall 'P 1'
_cell_length_a 4.4932
_cell_length_b 4.4932
_cell_length_c 5.1182
_cell_angle_alpha 90.00
_cell_angle_beta 90.00
_cell_angle_gamma 120.00
loop_
_atom_site_label
_atom_site_fract_x
_atom_site_fract_y
_atom_site_fract_z
Hf1 0.3333 0.6667 0.7500
Hf2 0.6667 0.3333 0.2500
Mn1 0.3333 0.6667 0.2500
Mn2 0.6667 0.3333 0.7500